[1]
Entry from Alexandria via LeMat-Bulk: an optimized crystal structure of RbMn2Nb (GGA-PBE).

* energy above the most stable polymorph in this dataset: 0.512 eV/atom

The structure in POSCAR format:
```
RbMn2Nb
1.0
2.6014 -0.9320 3.6859
-1.2302 -3.3645 2.8963
2.4426 -3.9022 0.1682
Nb Mn Rb
1 2 1
direct
0.5000 0.5000 0.5000 Nb
0.2500 0.2500 0.2500 Mn
0.7500 0.7500 0.7500 Mn
0.0000 0.0000 0.0000 Rb
```

[2]
Entry from Alexandria via LeMat-Bulk: an optimized crystal structure of BeTl2Au (GGA-PBE).

* energy above the most stable polymorph in this dataset: 0.373 eV/atom

The structure in POSCAR format:
```
BeTl2Au
1.0
-0.6986 -3.3357 -0.9812
3.2342 -0.2328 1.4365
-2.9355 -1.2687 6.4035
Be Tl Au
1 2 1
direct
0.5000 0.5000 0.7500 Be
0.0000 0.0000 0.9800 Tl
0.0000 0.0000 0.5200 Tl
0.5000 0.5000 0.2500 Au
```

[3]
Entry from Alexandria via LeMat-Bulk: an optimized crystal structure of AcNd2TcN4 (GGA-PBE).

* formation energy from raw total energies: -0.907 eV/atom

The structure in POSCAR format:
```
AcNd2TcN4
1.0
-3.4252 -0.6793 0.8971
3.5624 -1.7431 5.0370
-1.0149 11.1709 4.5834
Ac Nd Tc N
2 4 2 8
direct
0.1123 0.2246 0.7500 Ac
0.8877 0.7754 0.2500 Ac
0.3681 0.7362 0.5410 Nd
0.6319 0.2638 0.0410 Nd
0.6319 0.2638 0.4590 Nd
0.3681 0.7362 0.9590 Nd
0.8463 0.6927 0.7500 Tc
0.1537 0.3073 0.2500 Tc
0.2665 0.5329 0.1312 N
0.7335 0.4671 0.6312 N
0.7335 0.4671 0.8688 N
0.2665 0.5329 0.3688 N
0.0000 0.0000 0.5000 N
0.0000 0.0000 0.0000 N
0.4194 0.8388 0.7500 N
0.5806 0.1612 0.2500 N
```

[4]
Entry from Alexandria via LeMat-Bulk: an optimized crystal structure of SnBi2Au2 (GGA-PBE).

* energy above the most stable polymorph in this dataset: 0.146 eV/atom

The structure in POSCAR format:
```
SnBi2Au2
1.0
8.7579 0.0000 0.0000
0.0000 8.7579 0.0000
0.0000 0.0000 3.4433
Au Bi Sn
4 4 2
direct
0.1131 0.6131 0.5000 Au
0.6131 0.8869 0.5000 Au
0.8869 0.3869 0.5000 Au
0.3869 0.1131 0.5000 Au
0.3089 0.8089 0.0000 Bi
0.8089 0.6911 0.0000 Bi
0.6911 0.1911 0.0000 Bi
0.1911 0.3089 0.0000 Bi
0.0000 0.0000 0.0000 Sn
0.5000 0.5000 0.0000 Sn
```

[5]
Entry from Alexandria via LeMat-Bulk: an optimized crystal structure of Dy4InPt (GGA-PBE).

* energy above the most stable polymorph in this dataset: 0.244 eV/atom

The structure in POSCAR format:
```
Dy4InPt
1.0
-0.3084 6.1697 3.2110
-6.6079 -1.4955 2.2387
2.8051 -3.3628 6.0332
Dy In Pt
8 2 2
direct
0.8794 0.6429 0.1783 Dy
0.6206 0.1429 0.8217 Dy
0.3254 0.3371 0.3554 Dy
0.1746 0.8371 0.6446 Dy
0.1206 0.3571 0.8217 Dy
0.3794 0.8571 0.1783 Dy
0.6746 0.6629 0.6446 Dy
0.8254 0.1629 0.3554 Dy
0.0000 0.0000 0.0000 In
0.5000 0.5000 0.0000 In
0.5000 0.0000 0.5000 Pt
0.0000 0.5000 0.5000 Pt
```

[6]
Entry from Alexandria via LeMat-Bulk: an optimized crystal structure of In2BAuBr (GGA-PBE).

* formation energy from raw total energies: 0.099 eV/atom

The structure in POSCAR format:
```
In2BAuBr
1.0
5.2159 0.0000 0.0000
0.0000 4.2700 0.0000
0.0000 0.0000 5.2159
B Au Br In
1 1 1 2
direct
0.0000 0.0000 0.0000 B
0.0000 0.5000 0.0000 Au
0.5000 0.5000 0.5000 Br
0.0000 0.0000 0.5000 In
0.5000 0.0000 0.0000 In
```

[7]
Entry from Alexandria via LeMat-Bulk: an optimized crystal structure of BaHgOs2 (GGA-PBE).

The structure in POSCAR format:
```
BaHgOs2
1.0
5.7603 -0.0005 0.0000
-2.3326 5.2669 0.0000
0.0000 0.0000 2.8020
Os Hg Ba
2 1 1
direct
0.0000 0.0000 0.0000 Os
0.5000 0.5000 0.0000 Os
0.0000 0.5000 0.5000 Hg
0.5000 0.0000 0.5000 Ba
```

[8]
Entry from Alexandria via LeMat-Bulk: an optimized crystal structure of ErZnSb2 (GGA-PBE).

* formation energy from raw total energies: -0.395 eV/atom

The structure in POSCAR format:
```
ErZnSb2
1.0
4.1475 0.0000 0.0000
0.0000 4.8006 0.0000
0.0000 0.0000 4.8006
Sb Zn Er
2 1 1
direct
0.0000 0.0000 0.5000 Sb
0.0000 0.5000 0.0000 Sb
0.5000 0.0000 0.0000 Zn
0.5000 0.5000 0.5000 Er
```

[9]
Entry from Alexandria via LeMat-Bulk: an optimized crystal structure of KLi2Y (GGA-PBE).

The structure in POSCAR format:
```
KLi2Y
1.0
-0.0626 3.2272 -2.0412
-3.6162 0.6057 1.0685
2.9172 4.6384 7.2438
K Li Y
1 2 1
direct
0.5000 0.5000 0.7500 K
0.0000 0.0000 0.0448 Li
0.0000 0.0000 0.4552 Li
0.5000 0.5000 0.2500 Y
```

[10]
Entry from Alexandria via LeMat-Bulk: an optimized crystal structure of YPaAsO2 (GGA-PBE).

* formation energy from raw total energies: -2.665 eV/atom

The structure in POSCAR format:
```
YPaAsO2
1.0
3.8086 0.0000 0.0000
0.0000 3.8086 0.0000
-1.9043 -1.9043 6.0588
Y Pa As O
1 1 1 2
direct
0.1438 0.1438 0.2875 Y
0.8540 0.8540 0.7080 Pa
0.4969 0.4969 0.9938 As
0.7527 0.2527 0.5053 O
0.2527 0.7527 0.5053 O
```

[11]
Entry from Alexandria via LeMat-Bulk: an optimized crystal structure of Mo2SeCl (GGA-PBE).

* formation energy from raw total energies: 0.460 eV/atom
* energy above the most stable polymorph in this dataset: 0.653 eV/atom

The structure in POSCAR format:
```
Mo2SeCl
1.0
0.0000 3.1296 3.1296
3.1296 0.0000 3.1296
3.1296 3.1296 0.0000
Mo Se Cl
2 1 1
direct
0.2500 0.2500 0.2500 Mo
0.7500 0.7500 0.7500 Mo
0.5000 0.5000 0.5000 Se
0.0000 0.0000 0.0000 Cl
```

[12]
Entry from Alexandria via LeMat-Bulk: an optimized crystal structure of Li2TlBr (GGA-PBE).

* formation energy from raw total energies: -0.349 eV/atom
* energy above the most stable polymorph in this dataset: 0.376 eV/atom

The structure in POSCAR format:
```
Li2TlBr
1.0
-2.2278 -3.1488 3.3682
-1.3144 1.7273 4.6381
-4.9407 0.6134 1.1983
Tl Br Li
1 1 2
direct
0.5000 0.5000 0.5000 Tl
0.0000 0.0000 0.0000 Br
0.2500 0.2500 0.2500 Li
0.7500 0.7500 0.7500 Li
```

[13]
Entry from Alexandria via LeMat-Bulk: an optimized crystal structure of LiPm2Th (GGA-PBE).

* energy above the most stable polymorph in this dataset: 0.112 eV/atom

The structure in POSCAR format:
```
LiPm2Th
1.0
-1.2013 0.5842 3.3634
-4.9271 -2.8598 -1.2631
2.4539 -4.9984 1.7447
Li Th Pm
1 1 2
direct
0.5000 0.0000 0.0000 Li
0.5000 0.5000 0.5000 Th
0.0000 0.0000 0.5000 Pm
0.0000 0.5000 0.0000 Pm
```

[14]
Entry from Alexandria via LeMat-Bulk: an optimized crystal structure of RbTiReAg2 (GGA-PBE).

The structure in POSCAR format:
```
RbTiReAg2
1.0
-4.3876 2.5248 1.3523
-2.2128 -1.5204 -4.3407
-1.7444 -4.3178 2.4016
Re Rb Ag Ti
1 1 2 1
direct
0.5000 0.5000 0.5000 Re
0.0000 0.0000 0.0000 Rb
0.0000 0.0000 0.5000 Ag
0.5000 0.0000 0.0000 Ag
0.0000 0.5000 0.0000 Ti
```

[15]
Entry from Alexandria via LeMat-Bulk: an optimized crystal structure of K2Cd3In4Pb (GGA-PBE).

The structure in POSCAR format:
```
K2Cd3In4Pb
1.0
4.9365 0.0000 0.0000
0.0000 4.9365 0.0000
0.0000 0.0000 12.8188
K Cd In Pb
2 3 4 1
direct
0.5000 0.0000 0.2460 K
0.0000 0.5000 0.7540 K
0.0000 0.0000 0.5000 Cd
0.5000 0.0000 0.8662 Cd
0.0000 0.5000 0.1338 Cd
0.5000 0.5000 0.0000 In
0.0000 0.0000 0.0000 In
0.5000 0.0000 0.6427 In
0.0000 0.5000 0.3573 In
0.5000 0.5000 0.5000 Pb
```

[16]
Entry from Alexandria via LeMat-Bulk: an optimized crystal structure of CrBCl2 (GGA-PBE).

* formation energy from raw total energies: 1.143 eV/atom
* energy above the most stable polymorph in this dataset: 0.328 eV/atom

The structure in POSCAR format:
```
CrBCl2
1.0
-1.2211 5.2777 -2.1558
-0.9252 -2.3590 -5.2509
-5.7895 0.8242 -2.5870
Cr B Cl
2 2 4
direct
0.0000 0.0000 0.0000 Cr
0.7500 0.2500 0.5000 Cr
0.5000 0.5000 0.0000 B
0.2500 0.7500 0.5000 B
0.6841 0.1250 0.2500 Cl
0.0659 0.6250 0.2500 Cl
0.3750 0.3159 0.7500 Cl
0.8750 0.9341 0.7500 Cl
```

Let's list VASP energy in order: -22.06, -9.87, -129.14, -35.55, -59.59, -16.61, -18.84, -15.66, -10.48, -43.85, -25.15, -9.26, -18.23, -13.41, -20.53, -30.84 eV/cell.